Record 1
Computed, not measured: a relaxed TmPbO3 crystal at the PBE level of DFT.

Cell: 5.744 5.996 8.363 Å, 90.00 90.00 90.00°
Atoms (fractional coordinates):
Pb (0.987, 0.046, 0.250)
O (0.138, 0.430, 0.250)
Tm (0.500, 0.000, 0.000)
Tm (0.000, 0.500, 0.500)
O (0.362, 0.930, 0.250)
O (0.822, 0.815, 0.068)
O (0.678, 0.315, 0.068)
O (0.322, 0.685, 0.568)
O (0.638, 0.070, 0.750)
O (0.178, 0.185, 0.932)
Tm (0.500, 0.000, 0.500)
O (0.178, 0.185, 0.568)
Tm (0.000, 0.500, 0.000)
O (0.862, 0.570, 0.750)
Pb (0.487, 0.454, 0.750)
O (0.822, 0.815, 0.432)
Pb (0.513, 0.546, 0.250)
O (0.322, 0.685, 0.932)
Pb (0.013, 0.954, 0.750)
O (0.678, 0.315, 0.432)

- SG = Pnma, No. 62
- spin magnetization (μB per formula unit) = 0.00
- final energy (hartree per atom) = -0.250
- V (Å³ per cell) = 288.0

---

Record 2
Computed, not measured: a relaxed TmReAsO crystal at the PBE level of DFT.

Cell: 3.934 3.934 8.394 Å, 90.00 90.00 90.00°
Atoms (fractional coordinates):
As (0.000, 0.500, 0.313)
Tm (0.000, 0.500, 0.875)
Tm (0.500, 0.000, 0.125)
Re (0.500, 0.500, 0.500)
O (0.000, 0.000, 0.000)
Re (0.000, 0.000, 0.500)
O (0.500, 0.500, 0.000)
As (0.500, 0.000, 0.687)

- SG = P4/nmm, No. 129
- relative energy among the computed polymorphs (meV/atom) = 0
- spin magnetization (μB per formula unit) = 0.01
- final energy (hartree per atom) = -0.303
- V (Å³ per cell) = 129.9

---

Record 3
Computed, not measured: a relaxed KPr2OsO6 crystal at the PBE level of DFT.

Cell: 5.677 6.168 9.815 Å, 90.00 123.26 90.00°
Atoms (fractional coordinates):
Pr (0.782, 0.066, 0.760)
O (0.264, 0.267, 0.905)
K (0.000, 0.500, 0.000)
O (0.569, 0.416, 0.714)
K (0.000, 0.000, 0.500)
O (0.161, 0.658, 0.451)
O (0.736, 0.767, 0.595)
O (0.839, 0.342, 0.549)
O (0.569, 0.084, 0.214)
O (0.839, 0.158, 0.049)
O (0.264, 0.233, 0.405)
O (0.736, 0.733, 0.095)
O (0.431, 0.916, 0.786)
Os (0.500, 0.000, 0.000)
Pr (0.218, 0.934, 0.240)
Os (0.500, 0.500, 0.500)
Pr (0.218, 0.566, 0.740)
O (0.161, 0.842, 0.951)
O (0.431, 0.584, 0.286)
Pr (0.782, 0.434, 0.260)

- SG = P2_1/c, No. 14
- spin magnetization (μB per formula unit) = 3.00
- final energy (hartree per atom) = -0.271
- V (Å³ per cell) = 287.4

---

Question: V of number 1 (TmPbO3)?
Answer: 288.0 Å³ per cell